Material: BaTa2BP
Method: DFT, PBE
State: optimized geometry

Properties
**DFT formation energy**: 690 meV/atom
**Mass density**: 8.20 Mg/m³

```
BaTa2BP
1.0
-4.400 0.210 -0.305
0.333 -1.047 -5.511
-0.262 -4.333 0.807
Ta Ba P B
2 1 1 1
Direct
0.000 0.000 0.500
0.500 0.000 0.000
0.000 0.500 0.000
0.500 0.500 0.500
0.000 0.000 0.000
```



Material: BaTlBP2
Method: DFT, PBE
State: optimized geometry

Properties
**DFT formation energy**: 366 meV/atom
**Mass density**: 6.27 Mg/m³

```
BaTlBP2
1.0
-0.346 -2.929 3.766
4.260 1.536 1.586
-2.174 3.458 2.490
P B Ba Tl
2 1 1 1
Direct
0.500 0.000 0.000
0.000 0.000 0.500
0.000 0.000 0.000
0.500 0.500 0.500
0.000 0.500 0.000
```



Material: BaVB2P
Method: DFT, PBE
State: optimized geometry

Properties
**DFT formation energy**: 3066 meV/atom
**Mass density**: 3.53 Mg/m³

```
BaVB2P
1.0
4.652 0.000 0.000
0.000 5.231 0.000
0.000 0.000 4.652
V B Ba P
1 2 1 1
Direct
0.000 0.500 0.000
0.000 0.000 0.500
0.500 0.000 0.000
0.000 0.000 0.000
0.500 0.500 0.500
```



Material: BaBPW2
Method: DFT, PBE
State: optimized geometry

Properties
**DFT formation energy**: 4200 meV/atom
**Mass density**: 6.05 Mg/m³

```
BaBPW2
1.0
-2.809 4.137 1.761
1.175 -1.343 5.032
4.342 3.035 -0.204
W Ba P B
2 1 1 1
Direct
0.500 0.000 0.000
0.000 0.000 0.500
0.000 0.000 0.000
0.000 0.500 0.000
0.500 0.500 0.500
```



Material: BaZnB2P
Method: DFT, PBE
State: optimized geometry

Properties
**DFT formation energy**: 1130 meV/atom
**Mass density**: 4.06 Mg/m³

```
BaZnB2P
1.0
-0.084 3.369 -2.446
-5.845 -0.962 -1.125
-1.019 2.355 3.279
B Ba P Zn
2 1 1 1
Direct
0.000 0.000 0.500
0.500 0.000 0.000
0.000 0.500 0.000
0.000 0.000 0.000
0.500 0.500 0.500
```



Material: BaPaB12
Method: DFT, PBE
State: optimized geometry

Properties
**DFT formation energy**: -382 meV/atom
**Mass density**: 5.72 Mg/m³

```
BaPaB12
1.0
4.157 0.000 0.000
0.000 4.157 0.000
0.000 0.000 8.361
B Pa Ba
12 1 1
Direct
0.500 0.200 0.243
0.500 0.800 0.243
0.200 0.500 0.757
0.500 0.800 0.757
0.800 0.500 0.243
0.500 0.200 0.757
0.800 0.500 0.757
0.200 0.500 0.243
0.500 0.500 0.396
0.500 0.500 0.903
0.500 0.500 0.604
0.500 0.500 0.097
0.000 0.000 0.000
0.000 0.000 0.500
```



Q: Look up the DFT formation energy of the sixth one.
A: -382 meV/atom